# 1
A relaxed structure of TlCuIrSe3. Source: OQMD via LeMat-Bulk, functional GGA-PBE.

a = 3.7831 Å, b = 14.6319 Å, c = 9.7019 Å
α = 90.00°, β = 90.00°, γ = 90.00°
Last column: nearest neighbours and their distance in Å.
Space group Cmcm (No. 63)
Inequivalent atoms, fractional coordinates:
Tl  0.0000  0.2377  0.2500  8 Se 3.35-3.49, 2 Cu 3.50
Cu  0.0000  0.4635  0.7500  4 Se 2.40-2.43
Ir  0.0000  0.0000  0.0000  6 Se 2.55-2.62
Se  0.0000  0.0678  0.7500  2 Cu 2.43, 2 Ir 2.62
Se  0.0000  0.3851  0.5330  1 Cu 2.40, 2 Ir 2.55

- E_tot (eV/cell) = -105.8

---

# 2
A relaxed structure of CuSiSnIr. Source: OQMD via LeMat-Bulk, functional GGA-PBE.

a = 6.3357 Å, b = 6.3357 Å, c = 6.3357 Å
α = 90.00°, β = 90.00°, γ = 90.00°
Last column: nearest neighbours and their distance in Å.
Space group F-43m (No. 216)
Inequivalent atoms, fractional coordinates:
Cu  0.0000  0.0000  0.0000  4 Sn 2.74, 4 Si 2.74
Si  0.2500  0.2500  0.2500  4 Cu 2.74, 4 Ir 2.74
Sn  0.2500  0.2500  0.7500  4 Ir 2.74, 4 Cu 2.74
Ir  0.0000  0.0000  0.5000  4 Si 2.74, 4 Sn 2.74

- E_tot (eV/cell) = -86.1

---

# 3
A relaxed structure of SrCuSi2Ir. Source: OQMD via LeMat-Bulk, functional GGA-PBE.

a = 4.1754 Å, b = 4.1754 Å, c = 10.2153 Å
α = 90.00°, β = 90.00°, γ = 90.00°
Last column: nearest neighbours and their distance in Å.
Space group I-4m2 (No. 119)
Inequivalent atoms, fractional coordinates:
Sr  0.0000  0.0000  0.0000  8 Si 3.23, 4 Cu 3.30, 4 Ir 3.30
Cu  0.0000  0.5000  0.7500  4 Si 2.43
Si  0.0000  0.0000  0.3715  2 Ir 2.43, 2 Cu 2.43, 1 Si 2.63
Ir  0.0000  0.5000  0.2500  4 Si 2.43

- E_tot (eV/cell) = -55.6

---

# 4
A relaxed structure of TaCuSiIr. Source: OQMD via LeMat-Bulk, functional GGA-PBE.

a = 6.1434 Å, b = 6.1434 Å, c = 6.1434 Å
α = 90.00°, β = 90.00°, γ = 90.00°
Last column: nearest neighbours and their distance in Å.
Space group F-43m (No. 216)
Inequivalent atoms, fractional coordinates:
Ta  0.0000  0.0000  0.0000  4 Cu 2.66, 4 Ir 2.66
Cu  0.2500  0.2500  0.7500  4 Ta 2.66, 4 Si 2.66
Si  0.0000  0.0000  0.5000  4 Ir 2.66, 4 Cu 2.66
Ir  0.2500  0.2500  0.2500  4 Ta 2.66, 4 Si 2.66

- E_tot (eV/cell) = -121.9

---

# 5
A relaxed structure of TaCuSiIr. Source: OQMD via LeMat-Bulk, functional GGA-PBE.

a = 6.1600 Å, b = 6.1600 Å, c = 6.1600 Å
α = 90.00°, β = 90.00°, γ = 90.00°
Last column: nearest neighbours and their distance in Å.
Space group F-43m (No. 216)
Inequivalent atoms, fractional coordinates:
Ta  0.0000  0.0000  0.0000  4 Ir 2.67, 4 Si 2.67
Cu  0.0000  0.0000  0.5000  4 Ir 2.67, 4 Si 2.67
Si  0.2500  0.2500  0.2500  4 Ta 2.67, 4 Cu 2.67
Ir  0.2500  0.2500  0.7500  4 Ta 2.67, 4 Cu 2.67

- E_tot (eV/cell) = -121.8

---

# 6
A relaxed structure of CuSiTcIr. Source: OQMD via LeMat-Bulk, functional GGA-PBE.

a = 6.0184 Å, b = 6.0184 Å, c = 6.0184 Å
α = 90.00°, β = 90.00°, γ = 90.00°
Last column: nearest neighbours and their distance in Å.
Space group F-43m (No. 216)
Inequivalent atoms, fractional coordinates:
Cu  0.0000  0.0000  0.0000  4 Si 2.61, 4 Ir 2.61
Si  0.2500  0.2500  0.7500  4 Tc 2.61, 4 Cu 2.61
Tc  0.0000  0.0000  0.5000  4 Ir 2.61, 4 Si 2.61
Ir  0.2500  0.2500  0.2500  4 Cu 2.61, 4 Tc 2.61

- E_tot (eV/cell) = -112.4

---

# 7
A relaxed structure of YCuSiIr. Source: OQMD via LeMat-Bulk, functional GGA-PBE.

a = 6.4094 Å, b = 6.4094 Å, c = 6.4094 Å
α = 90.00°, β = 90.00°, γ = 90.00°
Last column: nearest neighbours and their distance in Å.
Space group F-43m (No. 216)
Inequivalent atoms, fractional coordinates:
Y  0.0000  0.0000  0.0000  4 Ir 2.78, 4 Cu 2.78
Cu  0.2500  0.2500  0.7500  4 Si 2.78, 4 Y 2.78
Si  0.0000  0.0000  0.5000  4 Cu 2.78, 4 Ir 2.78
Ir  0.2500  0.2500  0.2500  4 Si 2.78, 4 Y 2.78

- E_tot (eV/cell) = -103.4

---

# 8
A relaxed structure of YCuSi2Ir. Source: OQMD via LeMat-Bulk, functional GGA-PBE.

a = 4.0376 Å, b = 4.0376 Å, c = 9.9944 Å
α = 90.00°, β = 90.00°, γ = 90.00°
Last column: nearest neighbours and their distance in Å.
Space group I-4m2 (No. 119)
Inequivalent atoms, fractional coordinates:
Y  0.0000  0.0000  0.0000  8 Si 3.09, 4 Ir 3.21, 4 Cu 3.21
Cu  0.0000  0.5000  0.2500  4 Si 2.41
Si  0.0000  0.0000  0.3813  1 Si 2.37, 2 Cu 2.41, 2 Ir 2.41
Ir  0.0000  0.5000  0.7500  4 Si 2.41

- E_tot (eV/cell) = -67.5

---

# 9
A relaxed structure of YCuSiIr. Source: OQMD via LeMat-Bulk, functional GGA-PBE.

a = 6.4836 Å, b = 6.4836 Å, c = 6.4836 Å
α = 90.00°, β = 90.00°, γ = 90.00°
Last column: nearest neighbours and their distance in Å.
Space group F-43m (No. 216)
Inequivalent atoms, fractional coordinates:
Y  0.0000  0.0000  0.0000  4 Ir 2.81, 4 Si 2.81
Cu  0.0000  0.0000  0.5000  4 Ir 2.81, 4 Si 2.81
Si  0.2500  0.2500  0.2500  4 Cu 2.81, 4 Y 2.81
Ir  0.2500  0.2500  0.7500  4 Cu 2.81, 4 Y 2.81

- E_tot (eV/cell) = -99.1

---

# 10
A relaxed structure of ZrCuSiIr. Source: OQMD via LeMat-Bulk, functional GGA-PBE.

a = 6.1946 Å, b = 6.1946 Å, c = 6.1946 Å
α = 90.00°, β = 90.00°, γ = 90.00°
Last column: nearest neighbours and their distance in Å.
Space group F-43m (No. 216)
Inequivalent atoms, fractional coordinates:
Zr  0.0000  0.0000  0.0000  4 Si 2.68, 4 Cu 2.68
Cu  0.2500  0.2500  0.2500  4 Zr 2.68, 4 Ir 2.68
Si  0.2500  0.2500  0.7500  4 Zr 2.68, 4 Ir 2.68
Ir  0.0000  0.0000  0.5000  4 Cu 2.68, 4 Si 2.68

- E_tot (eV/cell) = -113.3

---

# 11
A relaxed structure of ZrCuSiIr. Source: OQMD via LeMat-Bulk, functional GGA-PBE.

a = 6.2961 Å, b = 6.2961 Å, c = 6.2961 Å
α = 90.00°, β = 90.00°, γ = 90.00°
Last column: nearest neighbours and their distance in Å.
Space group F-43m (No. 216)
Inequivalent atoms, fractional coordinates:
Zr  0.0000  0.0000  0.0000  4 Ir 2.73, 4 Si 2.73
Cu  0.0000  0.0000  0.5000  4 Ir 2.73, 4 Si 2.73
Si  0.2500  0.2500  0.7500  4 Cu 2.73, 4 Zr 2.73
Ir  0.2500  0.2500  0.2500  4 Zr 2.73, 4 Cu 2.73

- E_tot (eV/cell) = -110.8

---

# 12
A relaxed structure of ZrCuSiIr. Source: OQMD via LeMat-Bulk, functional GGA-PBE.

a = 6.2520 Å, b = 6.2520 Å, c = 6.2520 Å
α = 90.00°, β = 90.00°, γ = 90.00°
Last column: nearest neighbours and their distance in Å.
Space group F-43m (No. 216)
Inequivalent atoms, fractional coordinates:
Zr  0.0000  0.0000  0.0000  4 Cu 2.71, 4 Ir 2.71
Cu  0.2500  0.2500  0.7500  4 Zr 2.71, 4 Si 2.71
Si  0.0000  0.0000  0.5000  4 Ir 2.71, 4 Cu 2.71
Ir  0.2500  0.2500  0.2500  4 Zr 2.71, 4 Si 2.71

- E_tot (eV/cell) = -114.1